Record 1
The following is a DFT calculation (GGA-PBE) of a geometry-optimized Hg2BiRh structure.

a = 3.6082 Å, b = 4.9537 Å, c = 5.4209 Å
α = 90.00°, β = 107.83°, γ = 90.00°
Sites, in units of the cell vectors:
Hg  0.0000  0.0000  0.0000
Hg  0.2973  0.0000  0.5529
Bi  0.7270  0.5000  0.3991
Rh  0.4212  0.5000  0.8200

Space group: No. 6
ΔH_f (0 K), eV/atom: 0.17

---

Record 2
The following is a DFT calculation (GGA-PBE) of a geometry-optimized Sr2HgBi3Rh4 structure.

a = 4.6054 Å, b = 4.6054 Å, c = 11.3326 Å
α = 90.00°, β = 90.00°, γ = 90.00°
Sites, in units of the cell vectors:
Sr  0.0000  0.5000  0.2464
Sr  0.5000  0.0000  0.7536
Hg  0.5000  0.5000  0.0000
Bi  0.0000  0.0000  0.0000
Bi  0.0000  0.5000  0.6297
Bi  0.5000  0.0000  0.3703
Rh  0.0000  0.0000  0.5000
Rh  0.0000  0.5000  0.8649
Rh  0.5000  0.0000  0.1351
Rh  0.5000  0.5000  0.5000

Space group: No. 115
ΔH_f (0 K), eV/atom: -0.38

---

- Which of these has the lowest ΔH_f (0 K)?
  Sr2HgBi3Rh4

---

- Which formula does entry 2 have?
  Sr2HgBi3Rh4